[1]
# TiFe2Pd | Alexandria via LeMat-Bulk | GGA-PBE | optimized geometry
# - crystal system = tetragonal
# - DFT formation energy (eV per atom) = 0.1928
# - mass density (g/cm3) = 7.47
# - volume (Å³/atom) = 14.8
data_TiFe2Pd
_chemical_formula_sum 'Ti2 Fe4 Pd2'
_cell_length_a 9.395
_cell_length_b 9.395
_cell_length_c 9.395
_cell_angle_alpha 157.81
_cell_angle_beta 157.81
_cell_angle_gamma 31.59
_space_group_name_H-M_alt 'P 1'
_space_group_IT_number 1
_space_group_name_Hall 'P 1'
loop_
_atom_site_label
_atom_site_fract_x
_atom_site_fract_y
_atom_site_fract_z
Ti1 0.000 0.000 0.000
Ti2 0.750 0.250 0.500
Fe1 0.110 0.625 0.985
Fe2 0.375 0.360 0.485
Fe3 0.640 0.125 0.015
Fe4 0.875 0.890 0.515
Pd1 0.250 0.750 0.500
Pd2 0.500 0.500 0.000

[2]
# TiFePd6 | Alexandria via LeMat-Bulk | GGA-PBE | optimized geometry
# - crystal system = tetragonal
# - DFT formation energy (eV per atom) = -0.3764
# - mass density (g/cm3) = 10.30
# - relative energy among the computed polymorphs (eV per atom) = 0.0000
# - volume (Å³/atom) = 15.0
data_TiFePd6
_chemical_formula_sum 'Ti1 Fe1 Pd6'
_cell_length_a 3.913
_cell_length_b 3.913
_cell_length_c 7.816
_cell_angle_alpha 90.00
_cell_angle_beta 90.00
_cell_angle_gamma 90.00
_space_group_name_H-M_alt 'P 1'
_space_group_IT_number 1
_space_group_name_Hall 'P 1'
loop_
_atom_site_label
_atom_site_fract_x
_atom_site_fract_y
_atom_site_fract_z
Ti1 0.000 0.000 0.000
Fe1 0.000 0.000 0.500
Pd1 0.000 0.500 0.250
Pd2 0.000 0.500 0.750
Pd3 0.500 0.000 0.250
Pd4 0.500 0.000 0.750
Pd5 0.500 0.500 0.000
Pd6 0.500 0.500 0.500

[3]
# Ti2FePd | Alexandria via LeMat-Bulk | GGA-PBE | optimized geometry
# - crystal system = tetragonal
# - DFT formation energy (eV per atom) = -0.3603
# - mass density (g/cm3) = 7.32
# - volume (Å³/atom) = 14.6
data_Ti2FePd
_chemical_formula_sum 'Ti2 Fe1 Pd1'
_cell_length_a 4.329
_cell_length_b 4.329
_cell_length_c 3.122
_cell_angle_alpha 90.00
_cell_angle_beta 90.00
_cell_angle_gamma 90.00
_space_group_name_H-M_alt 'P 1'
_space_group_IT_number 1
_space_group_name_Hall 'P 1'
loop_
_atom_site_label
_atom_site_fract_x
_atom_site_fract_y
_atom_site_fract_z
Ti1 0.000 0.500 0.000
Ti2 0.500 0.000 0.000
Fe1 0.000 0.000 0.500
Pd1 0.500 0.500 0.500

[4]
# TiFePd4 | Alexandria via LeMat-Bulk | GGA-PBE | optimized geometry
# - crystal system = orthorhombic
# - DFT formation energy (eV per atom) = -0.3255
# - mass density (g/cm3) = 9.80
# - relative energy among the computed polymorphs (eV per atom) = 0.0525
# - volume (Å³/atom) = 15.0
data_TiFePd4
_chemical_formula_sum 'Ti4 Fe4 Pd16'
_cell_length_a 7.482
_cell_length_b 2.771
_cell_length_c 17.309
_cell_angle_alpha 90.00
_cell_angle_beta 90.00
_cell_angle_gamma 90.00
_space_group_name_H-M_alt 'P 1'
_space_group_IT_number 1
_space_group_name_Hall 'P 1'
loop_
_atom_site_label
_atom_site_fract_x
_atom_site_fract_y
_atom_site_fract_z
Ti1 0.249 0.250 0.062
Ti2 0.251 0.750 0.562
Ti3 0.749 0.250 0.438
Ti4 0.751 0.750 0.938
Fe1 0.246 0.250 0.812
Fe2 0.254 0.750 0.312
Fe3 0.746 0.250 0.688
Fe4 0.754 0.750 0.188
Pd1 0.057 0.750 0.434
Pd2 0.069 0.750 0.698
Pd3 0.101 0.750 0.177
Pd4 0.104 0.750 0.939
Pd5 0.396 0.250 0.439
Pd6 0.399 0.250 0.677
Pd7 0.431 0.250 0.198
Pd8 0.443 0.250 0.934
Pd9 0.557 0.750 0.066
Pd10 0.569 0.750 0.802
Pd11 0.601 0.750 0.323
Pd12 0.604 0.750 0.561
Pd13 0.896 0.250 0.061
Pd14 0.899 0.250 0.823
Pd15 0.931 0.250 0.302
Pd16 0.943 0.250 0.566

[5]
# Y2TiFePd | Alexandria via LeMat-Bulk | GGA-PBE | optimized geometry
# - crystal system = tetragonal
# - DFT formation energy (eV per atom) = 0.0582
# - mass density (g/cm3) = 5.52
# - relative energy among the computed polymorphs (eV per atom) = 0.0000
# - volume (Å³/atom) = 23.4
data_Y2TiFePd
_chemical_formula_sum 'Y2 Ti1 Fe1 Pd1'
_cell_length_a 5.226
_cell_length_b 5.226
_cell_length_c 4.275
_cell_angle_alpha 90.00
_cell_angle_beta 90.00
_cell_angle_gamma 90.00
_space_group_name_H-M_alt 'P 1'
_space_group_IT_number 1
_space_group_name_Hall 'P 1'
loop_
_atom_site_label
_atom_site_fract_x
_atom_site_fract_y
_atom_site_fract_z
Y1 0.000 0.500 0.000
Y2 0.500 0.000 0.000
Ti1 0.000 0.000 0.500
Fe1 0.000 0.000 0.000
Pd1 0.500 0.500 0.500

[6]
# Y2TiFePd | Alexandria via LeMat-Bulk | GGA-PBE | optimized geometry
# - crystal system = tetragonal
# - DFT formation energy (eV per atom) = 0.6714
# - mass density (g/cm3) = 4.98
# - relative energy among the computed polymorphs (eV per atom) = 0.6133
# - volume (Å³/atom) = 25.9
data_Y2TiFePd
_chemical_formula_sum 'Y2 Ti1 Fe1 Pd1'
_cell_length_a 5.336
_cell_length_b 5.336
_cell_length_c 4.543
_cell_angle_alpha 90.00
_cell_angle_beta 90.00
_cell_angle_gamma 90.00
_space_group_name_H-M_alt 'P 1'
_space_group_IT_number 1
_space_group_name_Hall 'P 1'
loop_
_atom_site_label
_atom_site_fract_x
_atom_site_fract_y
_atom_site_fract_z
Y1 0.000 0.500 0.000
Y2 0.500 0.000 0.000
Ti1 0.000 0.000 0.500
Fe1 0.500 0.500 0.500
Pd1 0.500 0.500 0.000

Number 1: VASP energy -7.31 eV/atom. Number 2: VASP energy -6.32 eV/atom. Number 3: VASP energy -7.72 eV/atom. Number 4: VASP energy -6.51 eV/atom. Number 5: VASP energy -6.84 eV/atom. Number 6: VASP energy -6.22 eV/atom.